No. 1
An optimized crystal structure of CaY2Si, computed with PBE.

The structure in CIF format:
```
data_CaY2Si
_symmetry_space_group_name_H-M 'I 4/m m m'
_symmetry_Int_Tables_number 139
_symmetry_space_group_name_Hall '-I 4 2'
_cell_length_a 4.6667
_cell_length_b 4.6667
_cell_length_c 9.5925
_cell_angle_alpha 90.00
_cell_angle_beta 90.00
_cell_angle_gamma 90.00
loop_
_atom_site_label
_atom_site_type_symbol
_atom_site_fract_x
_atom_site_fract_y
_atom_site_fract_z
Ca1 Ca 0.0000 0.0000 0.0000
Y1 Y 0.0000 0.5000 0.2500
Si1 Si 0.0000 0.0000 0.5000
```

Results
The uncorrected formation energy comes out at -0.090 eV per atom. The size of the total moment comes out at 0.0 μB per formula unit.

=====

No. 2
An optimized crystal structure of Ca2YSi2, computed with PBE.

The structure in CIF format:
```
data_Ca2YSi2
_symmetry_space_group_name_H-M 'P 4/m b m'
_symmetry_Int_Tables_number 127
_symmetry_space_group_name_Hall '-P 4 2ab'
_cell_length_a 8.4068
_cell_length_b 8.4068
_cell_length_c 3.6090
_cell_angle_alpha 90.00
_cell_angle_beta 90.00
_cell_angle_gamma 90.00
loop_
_atom_site_label
_atom_site_type_symbol
_atom_site_fract_x
_atom_site_fract_y
_atom_site_fract_z
Ca1 Ca 0.1338 0.3662 0.0000
Y1 Y 0.0000 0.0000 0.5000
Si1 Si 0.1709 0.6709 0.5000
```

Results
The uncorrected formation energy comes out at -0.332 eV per atom. The size of the total moment comes out at 0.0 μB per formula unit.

=====

No. 3
An optimized crystal structure of CaY2Si, computed with PBE.

The structure in CIF format:
```
data_CaY2Si
_symmetry_space_group_name_H-M 'I -4 2 d'
_symmetry_Int_Tables_number 122
_symmetry_space_group_name_Hall 'I -4 2bw'
_cell_length_a 8.7548
_cell_length_b 8.7548
_cell_length_c 6.4705
_cell_angle_alpha 90.00
_cell_angle_beta 90.00
_cell_angle_gamma 90.00
loop_
_atom_site_label
_atom_site_type_symbol
_atom_site_fract_x
_atom_site_fract_y
_atom_site_fract_z
Ca1 Ca 0.0000 0.0000 0.0000
Y1 Y 0.1816 0.7500 0.6250
Si1 Si 0.0000 0.0000 0.5000
```

Results
The uncorrected formation energy comes out at -0.043 eV per atom. The size of the total moment comes out at 0.0 μB per formula unit.

=====

No. 4
An optimized crystal structure of Ca2YSi2, computed with PBE.

The structure in CIF format:
```
data_Ca2YSi2
_symmetry_space_group_name_H-M 'I 4/m m m'
_symmetry_Int_Tables_number 139
_symmetry_space_group_name_Hall '-I 4 2'
_cell_length_a 4.4195
_cell_length_b 4.4195
_cell_length_c 12.7204
_cell_angle_alpha 90.00
_cell_angle_beta 90.00
_cell_angle_gamma 90.00
loop_
_atom_site_label
_atom_site_type_symbol
_atom_site_fract_x
_atom_site_fract_y
_atom_site_fract_z
Ca1 Ca 0.0000 0.5000 0.2500
Y1 Y 0.0000 0.0000 0.0000
Si1 Si 0.0000 0.0000 0.4093
```

Results
The uncorrected formation energy comes out at -0.333 eV per atom. The size of the total moment comes out at 0.0 μB per formula unit.

=====

No. 5
An optimized crystal structure of CaY2Si, computed with PBE.

The structure in CIF format:
```
data_CaY2Si
_symmetry_space_group_name_H-M 'R -3 m'
_symmetry_Int_Tables_number 166
_symmetry_space_group_name_Hall '-R 3 2"'
_cell_length_a 4.0311
_cell_length_b 4.0311
_cell_length_c 29.2019
_cell_angle_alpha 90.00
_cell_angle_beta 90.00
_cell_angle_gamma 120.00
loop_
_atom_site_label
_atom_site_type_symbol
_atom_site_fract_x
_atom_site_fract_y
_atom_site_fract_z
Ca1 Ca 0.0000 0.0000 0.0000
Y1 Y 0.0000 0.0000 0.2207
Si1 Si 0.0000 0.0000 0.5000
```

Results
The uncorrected formation energy comes out at -0.221 eV per atom. The size of the total moment comes out at 0.3 μB per formula unit.

=====

No. 6
An optimized crystal structure of CaYSi3, computed with PBE.

The structure in CIF format:
```
data_CaYSi3
_symmetry_space_group_name_H-M 'P m -3 m'
_symmetry_Int_Tables_number 221
_symmetry_space_group_name_Hall '-P 4 2 3'
_cell_length_a 5.2525
_cell_length_b 5.2525
_cell_length_c 5.2525
_cell_angle_alpha 90.00
_cell_angle_beta 90.00
_cell_angle_gamma 90.00
loop_
_atom_site_label
_atom_site_type_symbol
_atom_site_fract_x
_atom_site_fract_y
_atom_site_fract_z
Ca1 Ca 0.0000 0.0000 0.0000
Y1 Y 0.5000 0.5000 0.5000
Si1 Si 0.0000 0.5000 0.5000
```

Results
The uncorrected formation energy comes out at 0.490 eV per atom. Its energy above the lowest structure with this stoichiometry is 1.010 eV/atom. The size of the total moment comes out at 0.0 μB per formula unit.

=====

No. 7
An optimized crystal structure of Ca2YSi, computed with PBE.

The structure in CIF format:
```
data_Ca2YSi
_symmetry_space_group_name_H-M 'I m m m'
_symmetry_Int_Tables_number 71
_symmetry_space_group_name_Hall '-I 2 2'
_cell_length_a 3.6293
_cell_length_b 4.6253
_cell_length_c 15.2804
_cell_angle_alpha 90.00
_cell_angle_beta 90.00
_cell_angle_gamma 90.00
loop_
_atom_site_label
_atom_site_type_symbol
_atom_site_fract_x
_atom_site_fract_y
_atom_site_fract_z
Ca1 Ca 0.0000 0.0000 0.1684
Y1 Y 0.0000 0.5000 0.0000
Si1 Si 0.0000 0.5000 0.5000
```

Results
The uncorrected formation energy comes out at -0.197 eV per atom. The size of the total moment comes out at 0.0 μB per formula unit.

=====

No. 8
An optimized crystal structure of Ca2YSi, computed with PBE.

The structure in CIF format:
```
data_Ca2YSi
_symmetry_space_group_name_H-M 'C m m m'
_symmetry_Int_Tables_number 65
_symmetry_space_group_name_Hall '-C 2 2'
_cell_length_a 6.4838
_cell_length_b 10.0345
_cell_length_c 3.5586
_cell_angle_alpha 90.00
_cell_angle_beta 90.00
_cell_angle_gamma 90.00
loop_
_atom_site_label
_atom_site_type_symbol
_atom_site_fract_x
_atom_site_fract_y
_atom_site_fract_z
Ca1 Ca 0.2500 0.2500 0.0000
Y1 Y 0.0000 0.0000 0.5000
Si1 Si 0.0000 0.5000 0.5000
```

Results
The uncorrected formation energy comes out at 0.096 eV per atom. The size of the total moment comes out at 0.0 μB per formula unit.

=====

No. 9
An optimized crystal structure of Ca2YSi, computed with PBE.

The structure in CIF format:
```
data_Ca2YSi
_symmetry_space_group_name_H-M 'P 4/m m m'
_symmetry_Int_Tables_number 123
_symmetry_space_group_name_Hall '-P 4 2'
_cell_length_a 3.4753
_cell_length_b 3.4753
_cell_length_c 9.7467
_cell_angle_alpha 90.00
_cell_angle_beta 90.00
_cell_angle_gamma 90.00
loop_
_atom_site_label
_atom_site_type_symbol
_atom_site_fract_x
_atom_site_fract_y
_atom_site_fract_z
Ca1 Ca 0.0000 0.0000 0.1905
Y1 Y 0.5000 0.5000 0.5000
Si1 Si 0.5000 0.5000 0.0000
```

Results
The uncorrected formation energy comes out at -0.101 eV per atom. The size of the total moment comes out at 0.0 μB per formula unit.

=====

No. 10
An optimized crystal structure of CaY2Si, computed with PBE.

The structure in CIF format:
```
data_CaY2Si
_symmetry_space_group_name_H-M 'I m m m'
_symmetry_Int_Tables_number 71
_symmetry_space_group_name_Hall '-I 2 2'
_cell_length_a 3.7156
_cell_length_b 5.3925
_cell_length_c 11.4760
_cell_angle_alpha 90.00
_cell_angle_beta 90.00
_cell_angle_gamma 90.00
loop_
_atom_site_label
_atom_site_type_symbol
_atom_site_fract_x
_atom_site_fract_y
_atom_site_fract_z
Ca1 Ca 0.0000 0.0000 0.0000
Y1 Y 0.0000 0.5000 0.1966
Si1 Si 0.0000 0.0000 0.5000
```

Results
The uncorrected formation energy comes out at -0.256 eV per atom. The size of the total moment comes out at 0.0 μB per formula unit.

=====

No. 11
An optimized crystal structure of CaY2Si, computed with PBE.

The structure in CIF format:
```
data_CaY2Si
_symmetry_space_group_name_H-M 'A m m 2'
_symmetry_Int_Tables_number 38
_cell_length_a 3.8234
_cell_length_b 4.1586
_cell_length_c 16.0363
_cell_angle_alpha 90.00
_cell_angle_beta 90.00
_cell_angle_gamma 90.00
loop_
_symmetry_equiv_pos_as_xyz
'x,y,z'
'-x,-y,z'
'-x,y,z'
'x,-y,z'
'x,y+1/2,z+1/2'
'-x,-y+1/2,z+1/2'
'-x,y+1/2,z+1/2'
'x,-y+1/2,z+1/2'
loop_
_atom_site_label
_atom_site_type_symbol
_atom_site_fract_x
_atom_site_fract_y
_atom_site_fract_z
Ca1 Ca 0.0000 0.0000 0.0000
Y1 Y 0.0000 0.0000 0.3114
Y2 Y 0.5000 0.0000 0.6658
Si1 Si 0.5000 0.0000 0.8415
```

Results
The uncorrected formation energy comes out at -0.195 eV per atom. The size of the total moment comes out at 0.0 μB per formula unit.

=====

No. 12
An optimized crystal structure of Ca2YSi, computed with PBE.

The structure in CIF format:
```
data_Ca2YSi
_symmetry_space_group_name_H-M 'I 4/m m m'
_symmetry_Int_Tables_number 139
_symmetry_space_group_name_Hall '-I 4 2'
_cell_length_a 4.5313
_cell_length_b 4.5313
_cell_length_c 10.6705
_cell_angle_alpha 90.00
_cell_angle_beta 90.00
_cell_angle_gamma 90.00
loop_
_atom_site_label
_atom_site_type_symbol
_atom_site_fract_x
_atom_site_fract_y
_atom_site_fract_z
Ca1 Ca 0.0000 0.5000 0.2500
Y1 Y 0.0000 0.0000 0.0000
Si1 Si 0.0000 0.0000 0.5000
```

Results
The uncorrected formation energy comes out at -0.079 eV per atom. The size of the total moment comes out at 0.0 μB per formula unit.

=====

Q: Look up the size of the total moment of the fifth one.
A: 0.3 μB per formula unit

=====

Q: Look up the size of the total moment of the eighth one.
A: 0.0 μB per formula unit